#P
DFT (GGA-PBE) results for RbBaPrS3 after structural relaxation.

M_tot: 0.0004 μB per atom
symmetry: Cmcm, No. 63

Lattice parameters (Å, degrees): 9.375 9.375 12.102 90.00 90.00 152.94
Sites, in units of the cell vectors:
Ba (0.616, 0.384, 0.250)
Ba (0.384, 0.616, 0.750)
Pr (0.000, 0.000, 0.000)
Pr (0.000, 0.000, 0.500)
Rb (0.365, 0.635, 0.250)
Rb (0.635, 0.365, 0.750)
S (0.603, 0.397, 0.005)
S (0.003, 0.997, 0.250)
S (0.603, 0.397, 0.495)
S (0.397, 0.603, 0.505)
S (0.997, 0.003, 0.750)
S (0.397, 0.603, 0.995)


#Q
DFT (GGA-PBE) results for RbBaPrS3 after structural relaxation.

M_tot: 0.0000 μB per atom
symmetry: Pnma, No. 62

Lattice parameters (Å, degrees): 16.200 4.260 11.004 90.00 90.00 90.00
Sites, in units of the cell vectors:
Ba (0.115, 0.250, 0.071)
Ba (0.615, 0.250, 0.429)
Ba (0.385, 0.750, 0.571)
Ba (0.885, 0.750, 0.929)
Pr (0.433, 0.750, 0.153)
Pr (0.933, 0.750, 0.347)
Pr (0.067, 0.250, 0.653)
Pr (0.567, 0.250, 0.847)
Rb (0.734, 0.250, 0.152)
Rb (0.234, 0.250, 0.348)
Rb (0.766, 0.750, 0.652)
Rb (0.266, 0.750, 0.848)
S (0.545, 0.250, 0.111)
S (0.259, 0.750, 0.133)
S (0.928, 0.250, 0.137)
S (0.428, 0.250, 0.363)
S (0.759, 0.750, 0.367)
S (0.045, 0.250, 0.389)
S (0.955, 0.750, 0.611)
S (0.241, 0.250, 0.633)
S (0.572, 0.750, 0.637)
S (0.072, 0.750, 0.863)
S (0.741, 0.250, 0.867)
S (0.455, 0.750, 0.889)


Least stable: #P


#P
DFT (GGA-PBE) results for RbBaPrTe3 after structural relaxation.

M_tot: 0.0002 μB per atom
symmetry: Cmcm, No. 63

Lattice parameters (Å, degrees): 8.333 8.333 12.326 90.00 90.00 144.86
Sites, in units of the cell vectors:
Ba (0.758, 0.242, 0.250)
Ba (0.242, 0.758, 0.750)
Pr (0.500, 0.500, 0.000)
Pr (0.500, 0.500, 0.500)
Rb (0.032, 0.968, 0.250)
Rb (0.968, 0.032, 0.750)
Te (0.138, 0.862, 0.023)
Te (0.403, 0.597, 0.250)
Te (0.138, 0.862, 0.477)
Te (0.862, 0.138, 0.523)
Te (0.597, 0.403, 0.750)
Te (0.862, 0.138, 0.977)


#Q
DFT (GGA-PBE) results for RbBaPrTe3 after structural relaxation.

M_tot: 0.0000 μB per atom
symmetry: Pnma, No. 62

Lattice parameters (Å, degrees): 14.793 4.750 21.255 90.00 90.00 90.00
Sites, in units of the cell vectors:
Ba (0.357, 0.250, 0.021)
Ba (0.857, 0.250, 0.479)
Ba (0.143, 0.750, 0.521)
Ba (0.643, 0.750, 0.979)
Pr (0.485, 0.750, 0.183)
Pr (0.985, 0.750, 0.317)
Pr (0.015, 0.250, 0.683)
Pr (0.515, 0.250, 0.817)
Rb (0.734, 0.250, 0.250)
Rb (0.234, 0.250, 0.250)
Rb (0.766, 0.750, 0.750)
Rb (0.266, 0.750, 0.750)
Te (0.576, 0.250, 0.091)
Te (0.295, 0.750, 0.128)
Te (0.984, 0.250, 0.223)
Te (0.484, 0.250, 0.277)
Te (0.795, 0.750, 0.372)
Te (0.076, 0.250, 0.409)
Te (0.924, 0.750, 0.591)
Te (0.205, 0.250, 0.628)
Te (0.516, 0.750, 0.723)
Te (0.016, 0.750, 0.777)
Te (0.705, 0.250, 0.872)
Te (0.424, 0.750, 0.909)


Least stable: #P


#P
DFT (GGA-PBE) results for BaSnSbPt2 after structural relaxation.

M_tot: 0.0007 μB per atom
symmetry: P2_1/m, No. 11

Lattice parameters (Å, degrees): 4.820 4.752 10.774 90.00 91.38 90.00
Sites, in units of the cell vectors:
Ba (0.759, 0.250, 0.255)
Ba (0.241, 0.750, 0.745)
Pt (0.258, 0.750, 0.126)
Pt (0.194, 0.250, 0.498)
Pt (0.806, 0.750, 0.502)
Pt (0.742, 0.250, 0.874)
Sb (0.290, 0.750, 0.380)
Sb (0.710, 0.250, 0.620)
Sn (0.752, 0.750, 0.000)
Sn (0.248, 0.250, 0.000)


#Q
DFT (GGA-PBE) results for BaSnSbPt2 after structural relaxation.

M_tot: 0.0007 μB per atom
symmetry: P4/nmm, No. 129

Lattice parameters (Å, degrees): 4.772 4.772 10.830 90.00 90.00 90.00
Sites, in units of the cell vectors:
Ba (0.000, 0.500, 0.245)
Ba (0.500, 0.000, 0.755)
Pt (0.000, 0.000, 0.000)
Pt (0.500, 0.500, 0.000)
Pt (0.500, 0.000, 0.374)
Pt (0.000, 0.500, 0.626)
Sb (0.500, 0.000, 0.123)
Sb (0.000, 0.500, 0.877)
Sn (0.000, 0.000, 0.500)
Sn (0.500, 0.500, 0.500)


Least stable: #Q